No. 1
A geometry-optimized Sc2HgTe structure. Source: Alexandria via LeMat-Bulk, functional PBE-GGA.

POSCAR file:
```
Sc2HgTe
1.0
5.116 -0.024 -0.082
-0.921 5.032 -0.082
0.048 0.057 3.571
Te Sc Hg
1 2 1
Direct
0.500 0.000 0.500 Te
0.000 0.000 0.000 Sc
0.500 0.500 0.000 Sc
0.000 0.500 0.500 Hg
```

Computed properties:
formation energy from raw total energies: -13.1 kcal/mol of atoms
relative energy among the computed polymorphs: 12.6 kJ/mol of atoms
symmetry: C2/m, No. 12

***

No. 2
A geometry-optimized ScHgTe structure. Source: Alexandria via LeMat-Bulk, functional PBE-GGA.

POSCAR file:
```
ScHgTe
1.0
6.288 -0.034 0.037
5.228 3.496 0.039
1.061 0.319 3.515
Sc Te Hg
1 1 1
Direct
0.319 0.319 0.681 Sc
0.696 0.696 0.304 Te
0.986 0.986 0.014 Hg
```

Computed properties:
formation energy from raw total energies: -12.3 kcal/mol of atoms
relative energy among the computed polymorphs: 0.1 kJ/mol of atoms
symmetry: I4mm, No. 107

***

No. 3
A geometry-optimized Sc2HgTe structure. Source: Alexandria via LeMat-Bulk, functional PBE-GGA.

POSCAR file:
```
Sc2HgTe
1.0
5.195 0.000 0.000
2.597 4.499 0.000
2.597 1.500 4.242
Te Sc Hg
1 2 1
Direct
0.750 0.750 0.750 Te
0.250 0.250 0.250 Sc
0.000 0.000 0.000 Sc
0.500 0.500 0.500 Hg
```

Computed properties:
formation energy from raw total energies: -1.0 kcal/mol of atoms
relative energy among the computed polymorphs: 63.1 kJ/mol of atoms
symmetry: F-43m, No. 216

***

No. 4
A geometry-optimized ScTi2HgTe structure. Source: Alexandria via LeMat-Bulk, functional PBE-GGA.

POSCAR file:
```
ScTi2HgTe
1.0
5.064 0.000 0.000
0.000 5.648 0.000
0.000 0.000 5.064
Ti Sc Hg Te
2 1 1 1
Direct
0.000 0.000 0.500 Ti
0.500 0.000 0.000 Ti
0.500 0.500 0.500 Sc
0.000 0.000 0.000 Hg
0.000 0.500 0.000 Te
```

Computed properties:
formation energy from raw total energies: 21.5 kcal/mol of atoms
symmetry: P4/mmm, No. 123

***

No. 5
A geometry-optimized ScTlHgTe3 structure. Source: Alexandria via LeMat-Bulk, functional PBE-GGA.

POSCAR file:
```
ScTlHgTe3
1.0
4.364 0.000 0.000
0.000 9.072 -0.351
0.000 -2.753 10.091
Te Tl Sc Hg
6 2 2 2
Direct
0.250 0.543 0.849 Te
0.750 0.892 0.117 Te
0.750 0.457 0.151 Te
0.250 0.740 0.451 Te
0.250 0.108 0.883 Te
0.750 0.260 0.549 Te
0.750 0.785 0.757 Tl
0.250 0.215 0.243 Tl
0.250 0.673 0.139 Sc
0.750 0.327 0.861 Sc
0.750 0.917 0.391 Hg
0.250 0.083 0.609 Hg
```

Computed properties:
formation energy from raw total energies: -14.1 kcal/mol of atoms
symmetry: P2_1/m, No. 11

***

No. 6
A geometry-optimized Sc2Tl3HgTe6 structure. Source: Alexandria via LeMat-Bulk, functional PBE-GGA.

POSCAR file:
```
Sc2Tl3HgTe6
1.0
-1.073 -5.238 -5.488
6.891 1.188 3.132
-3.373 -4.081 6.159
Te Tl Sc Hg
6 3 2 1
Direct
0.275 0.275 0.815 Te
0.434 0.077 0.222 Te
0.725 0.725 0.185 Te
0.077 0.434 0.222 Te
0.566 0.923 0.778 Te
0.923 0.566 0.778 Te
0.157 0.843 0.500 Tl
0.843 0.157 0.500 Tl
0.500 0.500 0.500 Tl
0.322 0.678 0.000 Sc
0.678 0.322 0.000 Sc
0.000 0.000 0.000 Hg
```

Computed properties:
formation energy from raw total energies: -14.3 kcal/mol of atoms
symmetry: C2/m, No. 12

***

No. 7
A geometry-optimized ScV2HgTe structure. Source: Alexandria via LeMat-Bulk, functional PBE-GGA.

POSCAR file:
```
ScV2HgTe
1.0
-1.557 4.518 0.610
-4.051 -0.920 -3.524
-2.820 -1.461 3.623
V Hg Te Sc
2 1 1 1
Direct
0.000 0.000 0.500 V
0.500 0.000 0.000 V
0.000 0.500 0.000 Hg
0.000 0.000 0.000 Te
0.500 0.500 0.500 Sc
```

Computed properties:
formation energy from raw total energies: 25.1 kcal/mol of atoms
symmetry: P4/mmm, No. 123

***

No. 8
A geometry-optimized ThScHg6 structure. Source: Alexandria via LeMat-Bulk, functional PBE-GGA.

POSCAR file:
```
ThScHg6
1.0
-3.662 2.844 1.101
-1.562 -3.228 3.139
4.699 3.680 6.123
Hg Sc Th
6 1 1
Direct
0.500 0.000 0.735 Hg
0.000 0.500 0.265 Hg
0.500 0.500 0.000 Hg
0.500 0.000 0.265 Hg
0.500 0.500 0.500 Hg
0.000 0.500 0.735 Hg
0.000 0.000 0.500 Sc
0.000 0.000 0.000 Th
```

Computed properties:
formation energy from the elements: -0.1951 eV/atom
relative energy among the computed polymorphs: 1.1 kJ/mol of atoms
symmetry: P4/mmm, No. 123

***

No. 9
A geometry-optimized Th3ScHg4 structure. Source: Alexandria via LeMat-Bulk, functional PBE-GGA.

POSCAR file:
```
Th3ScHg4
1.0
3.463 0.000 0.000
0.000 3.463 0.000
0.000 0.000 17.327
Hg Th Sc
4 3 1
Direct
0.000 0.000 0.897 Hg
0.000 0.000 0.103 Hg
0.000 0.000 0.632 Hg
0.000 0.000 0.368 Hg
0.500 0.500 0.764 Th
0.500 0.500 0.500 Th
0.500 0.500 0.236 Th
0.500 0.500 0.000 Sc
```

Computed properties:
formation energy from the elements: -0.2739 eV/atom
symmetry: P4/mmm, No. 123

***

No. 10
A geometry-optimized ThSc2Hg4 structure. Source: Alexandria via LeMat-Bulk, functional PBE-GGA.

POSCAR file:
```
ThSc2Hg4
1.0
4.996 0.000 0.000
0.000 4.996 0.000
0.000 0.000 7.299
Sc Hg Th
2 4 1
Direct
0.500 0.500 0.500 Sc
0.000 0.000 0.000 Sc
0.000 0.500 0.283 Hg
0.000 0.500 0.717 Hg
0.500 0.000 0.717 Hg
0.500 0.000 0.283 Hg
0.500 0.500 0.000 Th
```

Computed properties:
formation energy from the elements: -0.1753 eV/atom
symmetry: P4/mmm, No. 123

***

No. 11
A geometry-optimized ThScHg6 structure. Source: Alexandria via LeMat-Bulk, functional PBE-GGA.

POSCAR file:
```
ThScHg6
1.0
-3.853 0.034 3.098
0.035 -6.704 0.117
3.623 3.445 4.468
Hg Sc Th
6 1 1
Direct
0.000 0.578 0.422 Hg
0.000 0.578 0.906 Hg
0.500 0.910 0.571 Hg
0.500 0.910 0.090 Hg
0.500 0.429 0.090 Hg
0.000 0.094 0.422 Hg
0.500 0.416 0.584 Sc
0.000 0.083 0.917 Th
```

Computed properties:
formation energy from the elements: -0.2062 eV/atom
relative energy among the computed polymorphs: 0.0 kJ/mol of atoms
symmetry: P-6m2, No. 187

***

No. 12
A geometry-optimized ThSc5Hg6 structure. Source: Alexandria via LeMat-Bulk, functional PBE-GGA.

POSCAR file:
```
ThSc5Hg6
1.0
4.796 0.004 -1.476
-0.801 6.785 -2.585
0.054 -0.610 8.703
Sc Hg Th
5 6 1
Direct
0.328 0.328 0.656 Sc
0.658 0.158 0.316 Sc
0.342 0.842 0.684 Sc
0.000 0.500 0.000 Sc
0.672 0.672 0.344 Sc
0.500 0.280 0.000 Hg
0.500 0.720 0.000 Hg
0.174 0.906 0.349 Hg
0.826 0.557 0.651 Hg
0.826 0.094 0.651 Hg
0.174 0.443 0.349 Hg
0.000 0.000 0.000 Th
```

Computed properties:
formation energy from the elements: -0.3660 eV/atom
symmetry: Immm, No. 71

***

No. 13
A geometry-optimized Th3ScHg12 structure. Source: Alexandria via LeMat-Bulk, functional PBE-GGA.

POSCAR file:
```
Th3ScHg12
1.0
4.760 0.000 0.000
0.000 4.760 0.000
0.000 0.000 17.779
Th Hg Sc
3 12 1
Direct
0.000 0.000 0.500 Th
0.000 0.000 0.760 Th
0.000 0.000 0.240 Th
0.000 0.500 0.113 Hg
0.000 0.500 0.629 Hg
0.500 0.000 0.629 Hg
0.500 0.000 0.371 Hg
0.500 0.500 0.757 Hg
0.500 0.500 0.243 Hg
0.000 0.500 0.887 Hg
0.000 0.500 0.371 Hg
0.500 0.000 0.887 Hg
0.500 0.000 0.113 Hg
0.500 0.500 0.500 Hg
0.500 0.500 0.000 Hg
0.000 0.000 0.000 Sc
```

Computed properties:
formation energy from the elements: -0.1791 eV/atom
symmetry: P4/mmm, No. 123

***

No. 14
A geometry-optimized ThScHg4 structure. Source: Alexandria via LeMat-Bulk, functional PBE-GGA.

POSCAR file:
```
ThScHg4
1.0
-3.111 0.224 1.158
-1.698 -2.171 -4.142
-2.157 -7.570 4.851
Hg Sc Th
4 1 1
Direct
0.175 0.997 0.822 Hg
0.827 0.997 0.174 Hg
0.687 0.497 0.339 Hg
0.316 0.497 0.657 Hg
0.001 0.997 0.498 Sc
0.501 0.497 0.998 Th
```

Computed properties:
formation energy from the elements: -0.2386 eV/atom
relative energy among the computed polymorphs: 0.0 kJ/mol of atoms
symmetry: P2/m, No. 10

***

No. 15
A geometry-optimized ThScHg4 structure. Source: Alexandria via LeMat-Bulk, functional PBE-GGA.

POSCAR file:
```
ThScHg4
1.0
3.298 0.000 0.954
1.980 5.980 -0.667
-0.460 -2.524 7.769
Hg Th Sc
4 1 1
Direct
0.643 0.028 0.685 Hg
0.192 0.471 0.145 Hg
0.357 0.972 0.315 Hg
0.808 0.529 0.855 Hg
0.500 0.500 0.500 Th
0.000 0.000 0.000 Sc
```

Computed properties:
formation energy from the elements: -0.2124 eV/atom
relative energy among the computed polymorphs: 2.5 kJ/mol of atoms
symmetry: C2/m, No. 12

***

No. 16
A geometry-optimized ThSc3Hg4 structure. Source: Alexandria via LeMat-Bulk, functional PBE-GGA.

POSCAR file:
```
ThSc3Hg4
1.0
5.039 0.000 0.000
0.000 7.446 0.000
0.000 0.000 10.079
Hg Sc Th
8 6 2
Direct
0.500 0.226 0.000 Hg
0.001 0.226 0.250 Hg
0.999 0.226 0.750 Hg
0.001 0.774 0.250 Hg
0.500 0.226 0.500 Hg
0.500 0.774 0.500 Hg
0.999 0.774 0.750 Hg
0.500 0.774 0.000 Hg
0.501 0.000 0.250 Sc
0.000 0.000 0.500 Sc
0.501 0.500 0.250 Sc
0.499 0.000 0.750 Sc
0.000 0.000 0.000 Sc
0.499 0.500 0.750 Sc
0.000 0.500 0.500 Th
0.000 0.500 0.000 Th
```

Computed properties:
formation energy from the elements: -0.3412 eV/atom
symmetry: Pmma, No. 51

***

No. 17
A geometry-optimized ThScTlHg structure. Source: Alexandria via LeMat-Bulk, functional PBE-GGA.

POSCAR file:
```
ThScTlHg
1.0
5.292 0.000 0.000
2.646 4.583 0.000
2.646 1.528 4.321
Th Sc Hg Tl
1 1 1 1
Direct
0.250 0.250 0.250 Th
0.750 0.750 0.750 Sc
0.500 0.500 0.500 Hg
0.000 0.000 0.000 Tl
```

Computed properties:
formation energy from the elements: -0.2104 eV/atom
symmetry: F-43m, No. 216

***

No. 18
A geometry-optimized TmThSc2Hg4 structure. Source: Alexandria via LeMat-Bulk, functional PBE-GGA.

POSCAR file:
```
TmThSc2Hg4
1.0
-3.531 3.461 -1.416
-4.962 -0.795 1.093
-1.843 4.939 7.327
Hg Sc Th Tm
4 2 1 1
Direct
0.871 0.871 0.387 Hg
0.129 0.129 0.613 Hg
0.381 0.381 0.858 Hg
0.619 0.619 0.142 Hg
0.251 0.251 0.248 Sc
0.749 0.749 0.752 Sc
0.000 0.000 0.000 Th
0.500 0.500 0.500 Tm
```

Computed properties:
formation energy from the elements: -0.3537 eV/atom
symmetry: R-3m, No. 166

***

No. 19
A geometry-optimized ScTiHg structure. Source: Alexandria via LeMat-Bulk, functional PBE-GGA.

POSCAR file:
```
ScTiHg
1.0
4.033 0.000 0.000
0.000 4.033 0.000
-2.016 -2.016 7.789
Hg Sc Ti
2 2 2
Direct
0.633 0.633 0.267 Hg
0.367 0.367 0.733 Hg
0.176 0.176 0.352 Sc
0.824 0.824 0.648 Sc
0.000 0.500 0.000 Ti
0.500 0.000 0.000 Ti
```

Computed properties:
formation energy from the elements: -0.1267 eV/atom
relative energy among the computed polymorphs: 3.9 kJ/mol of atoms
symmetry: I4/mmm, No. 139

***

No. 20
A geometry-optimized ScTi2Hg2 structure. Source: Alexandria via LeMat-Bulk, functional PBE-GGA.

POSCAR file:
```
ScTi2Hg2
1.0
-0.980 -0.180 -8.094
-8.019 -1.104 0.996
-0.419 3.030 -0.017
Sc Hg Ti
2 4 4
Direct
0.500 0.500 0.000 Sc
0.000 0.000 0.000 Sc
0.317 0.183 0.500 Hg
0.183 0.683 0.500 Hg
0.817 0.317 0.500 Hg
0.683 0.817 0.500 Hg
0.887 0.613 0.000 Ti
0.613 0.113 0.000 Ti
0.387 0.887 0.000 Ti
0.113 0.387 0.000 Ti
```

Computed properties:
formation energy from the elements: 0.0238 eV/atom
relative energy among the computed polymorphs: 0.0 kJ/mol of atoms
symmetry: P4/mbm, No. 127

***

These records have spin magnetization values of 0.1752; 0.0003; 0.5503; 0.6717; 0.0000; 0.0000; 0.0001; 0.0000; 0.0219; 0.0001; 0.0000; 0.1500; 0.0000; 0.0661; 0.0000; 0.1711; 0.0001; 0.1586; 0.2599; 0.5125 μB per atom, in the order they appear.